Compound: Zn4Ru3
Source: the Alexandria database
Functional: PBE
Structure: relaxed

uncorrected energy: -4.707 eV per atom
energy relative to the elements: 0.00 eV/atom
offset from the most stable computed form: 0.000 eV/f.u.

abc: 2.9124 2.9124 23.1732
angles: 90.00 90.00 90.00
Space group I4/mmm (No. 139)
Asymmetric unit:
Zn 0.0000 0.0000 0.0683 x4
Zn 0.0000 0.0000 0.3584 x4
Ru 0.0000 0.0000 0.2153 x4
Ru 0.0000 0.0000 0.5000 x2



Compound: AgGeI2N
Source: the Alexandria database
Functional: PBE
Structure: relaxed

formation energy (no corrections): 54.04 kJ/mol of atoms
uncorrected energy: -3.219 eV per atom
offset from the most stable computed form: 0.000 eV/f.u.

abc: 5.9774 5.9774 3.5350
angles: 90.00 90.00 90.00
Space group P4/mmm (No. 123)
Asymmetric unit:
Ag 0.0000 0.0000 0.0000 x1
Ge 0.5000 0.5000 0.5000 x1
I 0.0000 0.5000 0.5000 x2
N 0.5000 0.5000 0.0000 x1